Record 1
IrOsSe2: single point on PBEsol structure, SCAN.

energy relative to the elements, uncorrected: 0.99 eV/atom

Lattice parameters (Å, degrees): 2.8344 4.4428 4.9462 90.00 90.00 90.00
Last column: nearest neighbours and their distance in Å.
Space group Pmmm (No. 47)
Asymmetric unit:
Ir (0.0000, 0.0000, 0.0000)  4 Se 2.63, 2 Ir 2.83, 4 Os 2.85
Os (0.5000, 0.0000, 0.5000)  4 Se 2.63, 2 Os 2.83, 4 Ir 2.85
Se (0.0000, 0.5000, 0.5000)  4 Os 2.63, 6 Se 2.83-2.85
Se (0.5000, 0.5000, 0.0000)  4 Ir 2.63, 6 Se 2.83-2.85

=====

Record 2
IrOs2Se: single point on PBEsol structure, SCAN.

energy relative to the elements, uncorrected: 0.95 eV/atom

Lattice parameters (Å, degrees): 5.2145 9.6257 2.8089 90.00 121.57 90.00
Last column: nearest neighbours and their distance in Å.
Space group C2/m (No. 12)
Asymmetric unit:
Ir (0.0000, 0.0000, 0.0000)  4 Se 2.61-2.65, 4 Os 2.75, 2 Ir 2.81
Os (0.2500, 0.2500, 0.5000)  6 Os 2.61-2.81, 2 Se 2.75, 2 Ir 2.75
Se (0.0000, 0.5000, 0.0000)  4 Ir 2.61-2.65, 4 Os 2.75, 2 Se 2.81

=====

Record 3
SiIr3Os: single point on PBEsol structure, SCAN.

energy relative to the elements, uncorrected: 1.39 eV/atom
relative energy among the computed polymorphs: 0.00 eV per formula unit

Lattice parameters (Å, degrees): 4.3079 4.3079 4.3079 90.00 90.00 90.00
Last column: nearest neighbours and their distance in Å.
Space group Pm-3m (No. 221)
Asymmetric unit:
Si (0.0000, 0.0000, 0.0000)  6 Ir 2.15
Ir (0.0000, 0.0000, 0.5000)  2 Si 2.15
Os (0.5000, 0.5000, 0.5000)  12 Ir 3.05

=====

Record 4
Si2IrOs: single point on PBEsol structure, SCAN.

energy relative to the elements, uncorrected: -0.05 eV/atom

Lattice parameters (Å, degrees): 2.8566 2.8566 23.2067 90.00 90.00 120.00
Last column: nearest neighbours and their distance in Å.
Space group R3m (No. 160, hexagonal axes)
Asymmetric unit:
Si (0.0000, 0.0000, 0.0000)  3 Ir 2.41, 3 Si 2.54
Si (0.0000, 0.0000, 0.2499)  3 Os 2.40, 3 Si 2.54
Ir (0.0000, 0.0000, 0.7426)  3 Si 2.41
Os (0.0000, 0.0000, 0.5081)  3 Si 2.40

=====

Record 5
SiIr2Os: single point on PBEsol structure, SCAN.

energy relative to the elements, uncorrected: -0.16 eV/atom

Lattice parameters (Å, degrees): 2.8008 4.2824 9.1436 90.00 90.00 90.00
Last column: nearest neighbours and their distance in Å.
Space group Imm2 (No. 44)
Asymmetric unit:
Si (0.0000, 0.0000, 0.0000)  2 Os 2.39, 6 Ir 2.39-2.56
Ir (0.0000, 0.0000, 0.5059)  4 Si 2.56, 4 Ir 2.80-2.85
Ir (0.0000, 0.5000, 0.7123)  2 Si 2.39, 4 Os 2.65
Os (0.0000, 0.5000, 0.2878)  2 Si 2.39, 4 Ir 2.65

=====

Record 6
SiIr2Os: single point on PBEsol structure, SCAN.

energy relative to the elements, uncorrected: 0.22 eV/atom

Lattice parameters (Å, degrees): 2.7348 4.7610 8.6393 90.00 90.00 90.00
Last column: nearest neighbours and their distance in Å.
Space group Cmmm (No. 65)
Asymmetric unit:
Si (0.0000, 0.0000, 0.0000)  4 Ir 2.38
Ir (0.0000, 0.5000, 0.2258)  2 Si 2.38
Os (0.0000, 0.0000, 0.5000)  6 Os 2.73-2.75, 4 Ir 2.74

=====

Record 7
Si2IrOs: single point on PBEsol structure, SCAN.

energy relative to the elements, uncorrected: 0.01 eV/atom

Lattice parameters (Å, degrees): 2.8332 4.9528 7.8785 90.00 90.00 90.00
Last column: nearest neighbours and their distance in Å.
Space group Immm (No. 71)
Asymmetric unit:
Si (0.0000, 0.0000, 0.2499)  2 Os 2.43, 2 Ir 2.43
Ir (0.0000, 0.5000, 0.0000)  4 Si 2.43
Os (0.0000, 0.5000, 0.5000)  4 Si 2.43

=====

Record 8
SiIr2Os: single point on PBEsol structure, SCAN.

energy relative to the elements, uncorrected: -0.20 eV/atom

Lattice parameters (Å, degrees): 3.8707 2.7794 10.2089 90.00 90.00 90.00
Last column: nearest neighbours and their distance in Å.
Space group Amm2 (No. 38)
Asymmetric unit:
Si (0.0000, 0.0000, 0.0000)  5 Ir 2.43-2.54, 2 Os 2.46
Ir (0.0000, 0.0000, 0.7618)  1 Si 2.43, 4 Os 2.65
Ir (0.5000, 0.0000, 0.4137)  4 Si 2.54, 3 Os 2.71-2.77, 6 Ir 2.78-2.84
Os (0.5000, 0.0000, 0.1481)  2 Si 2.46, 5 Ir 2.65-2.71

=====

Record 9
Si2IrOs: single point on PBEsol structure, SCAN.

energy relative to the elements, uncorrected: -0.36 eV/atom

Lattice parameters (Å, degrees): 7.8554 2.8198 4.8833 90.00 102.05 90.00
Last column: nearest neighbours and their distance in Å.
Space group C2/m (No. 12)
Asymmetric unit:
Si (0.2485, 0.0000, 0.2423)  3 Os 2.50-2.51, 3 Ir 2.53-2.54, 2 Si 2.76
Ir (0.0000, 0.0000, 0.5000)  6 Si 2.53-2.54, 4 Os 2.82, 2 Ir 2.82
Os (0.0000, 0.5000, 0.0000)  6 Si 2.50-2.51

=====

Record 10
SiIr2Os: single point on PBEsol structure, SCAN.

energy relative to the elements, uncorrected: 0.47 eV/atom

Lattice parameters (Å, degrees): 5.2875 5.2875 11.3363 90.00 90.00 90.00
Last column: nearest neighbours and their distance in Å.
Space group I-42d (No. 122)
Asymmetric unit:
Si (0.0000, 0.0000, 0.0000)  4 Ir 2.32
Ir (0.2399, 0.2500, 0.1250)  2 Si 2.32, 2 Os 2.38
Os (0.0000, 0.0000, 0.5000)  4 Ir 2.38

=====

Record 11
SiIr3Os: single point on PBEsol structure, SCAN.

energy relative to the elements, uncorrected: 2.08 eV/atom
relative energy among the computed polymorphs: 3.46 eV per formula unit

Lattice parameters (Å, degrees): 4.6814 4.6814 4.6814 90.00 90.00 90.00
Last column: nearest neighbours and their distance in Å.
Space group Pm-3m (No. 221)
Asymmetric unit:
Si (0.0000, 0.0000, 0.0000)  12 Ir 3.31
Ir (0.0000, 0.5000, 0.5000)  2 Os 2.34
Os (0.5000, 0.5000, 0.5000)  6 Ir 2.34

=====

Record 12
TiSiIr2Os: single point on PBEsol structure, SCAN.

energy relative to the elements, uncorrected: 1.72 eV/atom

Lattice parameters (Å, degrees): 4.4999 4.4999 4.5206 90.00 90.00 90.00
Last column: nearest neighbours and their distance in Å.
Space group P4/mmm (No. 123)
Asymmetric unit:
Ti (0.0000, 0.0000, 0.0000)  4 Ir 2.25, 2 Os 2.26
Si (0.5000, 0.5000, 0.5000)  4 Os 3.18, 8 Ir 3.19
Ir (0.0000, 0.5000, 0.0000)  2 Ti 2.25
Os (0.0000, 0.0000, 0.5000)  2 Ti 2.26

=====

Number 1: raw total energy -44.798 eV/atom. Number 2: raw total energy -57.785 eV/atom. Number 3: raw total energy -57.649 eV/atom. Number 4: raw total energy -40.801 eV/atom. Number 5: raw total energy -56.184 eV/atom. Number 6: raw total energy -55.801 eV/atom. Number 7: raw total energy -40.739 eV/atom. Number 8: raw total energy -56.219 eV/atom. Number 9: raw total energy -41.112 eV/atom. Number 10: raw total energy -55.552 eV/atom. Number 11: raw total energy -56.956 eV/atom. Number 12: raw total energy -46.300 eV/atom.